Material: CsKSr2Rh
Method: DFT, PBE
State: optimized geometry

Geometry as POSCAR:
```
CsKSr2Rh
1.0
-1.613 2.798 -4.992
-1.015 -5.244 -2.612
-6.560 0.167 2.213
Cs Rh K Sr
1 1 1 2
Cartesian
-4.594 -1.140 -2.695
0.000 0.000 0.000
-3.280 0.084 1.107
-0.806 1.399 -2.496
-0.507 -2.622 -1.306
```

Properties
magnetic moment = 0.00 μB per cell
space group = P4/mmm (123)
DFT formation energy = 0.0858 eV/atom
calculated volume = 49.0 Å³ per atom
raw total energy = -12.24 eV/cell

---

Material: CsKTl7Rh2
Method: DFT, PBE
State: optimized geometry

Geometry as POSCAR:
```
CsKTl7Rh2
1.0
-3.100 2.818 -3.322
-1.477 -4.516 -2.452
-10.501 -1.291 8.705
Cs Tl K Rh
1 7 1 2
Cartesian
0.000 0.000 0.000
-9.023 -3.277 5.642
-2.956 -2.531 0.612
-6.420 -1.357 0.538
-2.289 -0.849 -2.887
-3.767 1.136 0.177
-8.659 -1.632 2.394
-9.834 0.390 5.207
-5.251 -0.646 4.353
-4.332 -1.100 -1.193
-10.747 -1.889 4.125
```

Properties
magnetic moment = 0.00 μB per cell
space group = P4/mmm (123)
DFT formation energy = -0.0173 eV/atom
calculated volume = 35.6 Å³ per atom
raw total energy = -33.41 eV/cell

---

Material: Cs2KTl6Rh
Method: DFT, PBE
State: optimized geometry

Geometry as POSCAR:
```
Cs2KTl6Rh
1.0
-3.818 0.352 -6.326
4.889 -5.029 -3.230
-6.302 -2.550 3.661
Tl K Cs Rh
6 1 2 1
Cartesian
-5.361 -4.832 -4.450
0.130 -2.394 -1.445
-4.769 -1.662 -4.631
2.175 -4.498 -2.796
-0.462 -5.565 -1.265
-7.406 -2.728 -3.099
-1.909 0.176 -3.163
-3.947 -3.249 -0.914
-1.284 -3.977 -4.981
0.000 0.000 0.000
```

Properties
magnetic moment = 0.00 μB per cell
space group = P-3m1 (164)
DFT formation energy = -0.0166 eV/atom
calculated volume = 38.2 Å³ per atom
raw total energy = -24.52 eV/cell

---

Which formula does entry 3 have?
Cs2KTl6Rh

---

raw total energy of number 3 (Cs2KTl6Rh)?
-24.52 eV/cell

---

What is the magnetic moment in the third record?
0.00 μB per cell